# Mg2CdI6

Mg2CdI6 after structural relaxation (PBE, the Alexandria database).

a = 11.3005 Å, b = 11.3005 Å, c = 7.5183 Å
α = 106.94°, β = 106.94°, γ = 91.68°
With the nearest neighbours (Å) after each atom.
Fractional positions:
Mg 0.1389 0.2967 0.3639  4 I 2.75-2.78
Mg 0.2967 0.1389 0.8639  4 I 2.75-2.78
Mg 0.7033 0.8611 0.1361  4 I 2.75-2.78
Mg 0.8611 0.7033 0.6361  4 I 2.75-2.78
Cd 0.2913 0.7087 0.7500  4 I 2.82-2.86
Cd 0.7087 0.2913 0.2500  4 I 2.82-2.86
I 0.0870 0.6767 0.8833  1 Mg 2.77, 1 Cd 2.82
I 0.0984 0.2452 0.6788  2 Mg 2.75-2.78
I 0.2452 0.0984 0.1788  2 Mg 2.75-2.78
I 0.2976 0.5046 0.4229  1 Mg 2.76, 1 Cd 2.86
I 0.3233 0.9130 0.6167  1 Mg 2.77, 1 Cd 2.82
I 0.4954 0.7024 0.0771  1 Mg 2.76, 1 Cd 2.86
I 0.5046 0.2976 0.9229  1 Mg 2.76, 1 Cd 2.86
I 0.6767 0.0870 0.3833  1 Mg 2.77, 1 Cd 2.82
I 0.7024 0.4954 0.5771  1 Mg 2.76, 1 Cd 2.86
I 0.7548 0.9016 0.8212  2 Mg 2.75-2.78
I 0.9016 0.7548 0.3212  2 Mg 2.75-2.78
I 0.9130 0.3233 0.1167  1 Mg 2.77, 1 Cd 2.82

Properties
- Uncorrected formation energy: -0.86 eV per atom
- E_tot: -2.350 eV per atom
- DOS(E_F): 0.00 states/eV/atom